[1]
Crystalline MnZnSe2 at its relaxed geometry. Source: Alexandria via LeMat-Bulk, functional PBE-GGA.

Cell and atoms, written as extended XYZ:
```
4
Lattice="2.9837 0.0000 0.0000 0.0000 2.9837 0.0000 0.0000 0.0000 8.4945" Properties=species:S:1:pos:R:3 pbc="T T T"
Mn 0.0000 0.0000 0.0000
Zn 0.0000 0.0000 4.2472
Se 1.4918 1.4918 1.4932
Se 1.4918 1.4918 7.0013
```

M_tot: 1.60 Bohr magnetons per cell
Space group: P4/mmm

***

[2]
Crystalline MnZnSe2 at its relaxed geometry. Source: Alexandria via LeMat-Bulk, functional PBE-GGA.

Cell and atoms, written as extended XYZ:
```
4
Lattice="2.0600 1.1894 8.1196 -2.0600 1.1894 8.1196 0.0000 -2.3787 8.1196" Properties=species:S:1:pos:R:3 pbc="T T T"
Mn 0.0000 0.0000 0.0000
Zn 0.0000 0.0000 20.3078
Se 0.0000 0.0000 7.5134
Se 0.0000 0.0000 11.7867
```

M_tot: 4.94 Bohr magnetons per cell
Space group: R3m

***

[3]
Crystalline MnZnSe2 at its relaxed geometry. Source: Alexandria via LeMat-Bulk, functional PBE-GGA.

Cell and atoms, written as extended XYZ:
```
4
Lattice="3.6900 0.0000 0.0000 0.0000 1.7559 6.3065 0.0000 -1.7559 6.3065" Properties=species:S:1:pos:R:3 pbc="T T T"
Mn 0.0000 0.0000 0.0000
Zn 1.8450 0.0000 9.7236
Se 0.0000 0.0000 4.1750
Se 1.8450 0.0000 7.2521
```

M_tot: 4.67 Bohr magnetons per cell
Space group: Amm2

***

[4]
Crystalline MnZnSe2 at its relaxed geometry. Source: Alexandria via LeMat-Bulk, functional PBE-GGA.

Cell and atoms, written as extended XYZ:
```
4
Lattice="4.1191 0.0000 0.0000 -2.0595 3.5672 0.0000 0.0000 0.0000 6.7423" Properties=species:S:1:pos:R:3 pbc="T T T"
Mn 0.0000 0.0000 0.0000
Zn 0.0000 2.3781 3.3872
Se 0.0000 0.0000 4.1990
Se 0.0000 2.3781 0.8975
```

M_tot: 5.01 Bohr magnetons per cell
Space group: P3m1

***

[5]
Crystalline MnZnSe2 at its relaxed geometry. Source: Alexandria via LeMat-Bulk, functional PBE-GGA.

Cell and atoms, written as extended XYZ:
```
4
Lattice="0.0000 3.3560 3.3560 3.3560 0.0000 3.3560 3.3560 3.3560 0.0000" Properties=species:S:1:pos:R:3 pbc="T T T"
Mn 0.0000 0.0000 0.0000
Zn 1.6780 1.6780 1.6780
Se 3.3560 3.3560 3.3560
Se 5.0340 5.0340 5.0340
```

M_tot: 4.19 Bohr magnetons per cell
Space group: F-43m

***

[6]
Crystalline MnZnSe2 at its relaxed geometry. Source: Alexandria via LeMat-Bulk, functional PBE-GGA.

Cell and atoms, written as extended XYZ:
```
4
Lattice="1.8190 -3.9292 0.0000 1.8190 3.9292 0.0000 0.0000 0.0000 7.1812" Properties=species:S:1:pos:R:3 pbc="T T T"
Mn 0.0000 0.0000 0.0000
Zn 0.0000 0.0000 3.5906
Se 1.8190 0.0000 1.7894
Se 1.8190 0.0000 5.3919
```

M_tot: 4.92 Bohr magnetons per cell
Space group: Cmmm

***

[7]
Crystalline MnZnSe2 at its relaxed geometry. Source: Alexandria via LeMat-Bulk, functional PBE-GGA.

Cell and atoms, written as extended XYZ:
```
8
Lattice="-2.8023 2.8023 5.4472 2.8023 -2.8023 5.4472 2.8023 2.8023 -5.4472" Properties=species:S:1:pos:R:3 pbc="T T T"
Mn 0.0000 0.0000 0.0000
Mn 0.0000 2.8023 2.7236
Zn 2.8023 0.0000 2.7236
Zn 0.0000 0.0000 5.4472
Se 4.2034 1.2397 -1.3618
Se 1.2397 1.4011 1.3618
Se -1.4011 1.5626 4.0854
Se 1.5626 1.4011 6.8090
```

M_tot: 0.00 Bohr magnetons per cell
Space group: I-42d

***

[8]
Crystalline MnZnSe2 at its relaxed geometry. Source: Alexandria via LeMat-Bulk, functional PBE-GGA.

Cell and atoms, written as extended XYZ:
```
4
Lattice="1.9656 1.1348 7.4744 -1.9656 1.1348 7.4744 0.0000 -2.2696 7.4744" Properties=species:S:1:pos:R:3 pbc="T T T"
Mn 0.0000 0.0000 0.0000
Zn 0.0000 0.0000 11.2117
Se 0.0000 0.0000 2.3553
Se 0.0000 0.0000 20.0681
```

M_tot: 4.62 Bohr magnetons per cell
Space group: R-3m

***

[9]
Crystalline MnZnSe2 at its relaxed geometry. Source: Alexandria via LeMat-Bulk, functional PBE-GGA.

Cell and atoms, written as extended XYZ:
```
4
Lattice="-1.7619 1.7904 6.2763 1.7619 -1.7904 6.2763 1.7619 1.7904 -6.2763" Properties=species:S:1:pos:R:3 pbc="T T T"
Mn 0.0000 0.0000 0.0000
Zn 1.7619 0.0000 3.2537
Se 0.0000 0.0000 7.3681
Se 0.0000 1.7904 4.2529
```

M_tot: 4.66 Bohr magnetons per cell
Space group: Imm2

***

[10]
Crystalline MnZnSe2 at its relaxed geometry. Source: Alexandria via LeMat-Bulk, functional PBE-GGA.

Cell and atoms, written as extended XYZ:
```
4
Lattice="3.3015 0.0000 0.0000 0.0000 3.3015 0.0000 0.0000 0.0000 6.6410" Properties=species:S:1:pos:R:3 pbc="T T T"
Mn 0.0000 0.0000 0.0000
Zn 0.0000 0.0000 3.3205
Se 1.6508 1.6508 1.5481
Se 1.6508 1.6508 5.0929
```

M_tot: 3.75 Bohr magnetons per cell
Space group: P4/mmm

***

[11]
Crystalline Mn2Zn2Se5 at its relaxed geometry. Source: Alexandria via LeMat-Bulk, functional PBE-GGA.

Cell and atoms, written as extended XYZ:
```
9
Lattice="1.9605 1.1319 16.2661 -1.9605 1.1319 16.2661 0.0000 -2.2638 16.2661" Properties=species:S:1:pos:R:3 pbc="T T T"
Mn 0.0000 0.0000 0.0000
Mn 0.0000 0.0000 9.0189
Zn 0.0000 0.0000 29.0715
Zn 0.0000 0.0000 37.6868
Se 0.0000 0.0000 4.3104
Se 0.0000 0.0000 26.6061
Se 0.0000 0.0000 33.4950
Se 0.0000 0.0000 40.2533
Se 0.0000 0.0000 46.2746
```

M_tot: 8.10 Bohr magnetons per cell
Space group: R3m

***

[12]
Crystalline MnZnSe2 at its relaxed geometry. Source: Alexandria via LeMat-Bulk, functional PBE-GGA.

Cell and atoms, written as extended XYZ:
```
4
Lattice="3.7940 0.0000 0.0000 0.0000 3.7940 0.0000 0.0000 0.0000 5.4103" Properties=species:S:1:pos:R:3 pbc="T T T"
Mn 0.0000 0.0000 0.0000
Zn 1.8970 1.8970 2.7137
Se 0.0000 0.0000 2.7046
Se 1.8970 1.8970 0.0025
```

M_tot: 4.63 Bohr magnetons per cell
Space group: P4mm

***

[13]
Crystalline MnZnSe2 at its relaxed geometry. Source: Alexandria via LeMat-Bulk, functional PBE-GGA.

Cell and atoms, written as extended XYZ:
```
4
Lattice="-1.8154 3.5915 3.9377 1.8154 -3.5915 3.9377 1.8154 3.5915 -3.9377" Properties=species:S:1:pos:R:3 pbc="T T T"
Mn 0.0000 0.0000 0.0000
Zn 0.0000 3.5915 0.0000
Se 1.8154 1.7874 0.0000
Se 0.0000 1.8041 3.9377
```

M_tot: 4.82 Bohr magnetons per cell
Space group: Immm

***

[14]
Crystalline Mn2ZnSe2 at its relaxed geometry. Source: Alexandria via LeMat-Bulk, functional PBE-GGA.

Cell and atoms, written as extended XYZ:
```
5
Lattice="-2.4077 2.4077 3.7327 2.4077 -2.4077 3.7327 2.4077 2.4077 -3.7327" Properties=species:S:1:pos:R:3 pbc="T T T"
Mn 0.0000 0.0000 1.1303
Mn 0.0000 0.0000 6.3352
Zn 0.0000 0.0000 3.7327
Se 2.4077 0.0000 1.8664
Se 0.0000 2.4077 1.8664
```

Excess energy over the best structure of this formula in the dataset: 182 meV per atom
M_tot: 4.68 Bohr magnetons per cell
Space group: I4/mmm

***

[15]
Crystalline ZrMnSe3 at its relaxed geometry. Source: Alexandria via LeMat-Bulk, functional PBE-GGA.

Cell and atoms, written as extended XYZ:
```
5
Lattice="5.2086 0.0000 0.0000 0.0000 5.2086 0.0000 0.0000 0.0000 5.2086" Properties=species:S:1:pos:R:3 pbc="T T T"
Zr 0.0000 0.0000 0.0000
Mn 2.6043 2.6043 2.6043
Se 0.0000 0.0000 2.6043
Se 0.0000 2.6043 0.0000
Se 2.6043 0.0000 0.0000
```

Excess energy over the best structure of this formula in the dataset: 702 meV per atom
M_tot: 5.11 Bohr magnetons per cell
Space group: Pm-3m

***

[16]
Crystalline Zr2MnSe at its relaxed geometry. Source: Alexandria via LeMat-Bulk, functional PBE-GGA.

Cell and atoms, written as extended XYZ:
```
4
Lattice="-2.1740 2.1740 3.9597 2.1740 -2.1740 3.9597 2.1740 2.1740 -3.9597" Properties=species:S:1:pos:R:3 pbc="T T T"
Zr 2.1740 0.0000 1.9799
Zr 0.0000 2.1740 1.9799
Mn 0.0000 0.0000 0.0000
Se 0.0000 0.0000 3.9597
```

M_tot: 2.45 Bohr magnetons per cell
Space group: I4/mmm

***

[17]
Crystalline ZrMn3Se at its relaxed geometry. Source: Alexandria via LeMat-Bulk, functional PBE-GGA.

Cell and atoms, written as extended XYZ:
```
5
Lattice="4.2980 0.0000 0.0000 0.0000 4.2980 0.0000 0.0000 0.0000 4.2980" Properties=species:S:1:pos:R:3 pbc="T T T"
Zr 0.0000 0.0000 0.0000
Mn 0.0000 2.1490 2.1490
Mn 2.1490 0.0000 2.1490
Mn 2.1490 2.1490 0.0000
Se 2.1490 2.1490 2.1490
```

Excess energy over the best structure of this formula in the dataset: 0 meV per atom
M_tot: 0.00 Bohr magnetons per cell
Space group: Pm-3m

***

[18]
Crystalline Zr2MnSe at its relaxed geometry. Source: Alexandria via LeMat-Bulk, functional PBE-GGA.

Cell and atoms, written as extended XYZ:
```
4
Lattice="3.0107 -1.7231 0.0000 3.0107 1.7231 0.0000 -1.9394 0.0000 7.4571" Properties=species:S:1:pos:R:3 pbc="T T T"
Zr 1.0394 0.0000 1.7669
Zr 3.0427 0.0000 5.6902
Mn 3.0107 0.0000 0.0000
Se -0.9697 0.0000 3.7286
```

M_tot: 0.59 Bohr magnetons per cell
Space group: C2/m

***

[19]
Crystalline Zr2MnSe at its relaxed geometry. Source: Alexandria via LeMat-Bulk, functional PBE-GGA.

Cell and atoms, written as extended XYZ:
```
8
Lattice="-2.9083 2.9083 5.9354 2.9083 -2.9083 5.9354 2.9083 2.9083 -5.9354" Properties=species:S:1:pos:R:3 pbc="T T T"
Zr 4.3624 1.1644 -1.4838
Zr 1.1644 1.4541 1.4838
Zr -1.4541 1.7439 4.4515
Zr 1.7439 1.4541 7.4192
Mn 0.0000 0.0000 0.0000
Mn 0.0000 2.9083 2.9677
Se 2.9083 0.0000 2.9677
Se 0.0000 0.0000 5.9354
```

M_tot: 0.01 Bohr magnetons per cell
Space group: I-42d

***

[20]
Crystalline ZrMn2Se at its relaxed geometry. Source: Alexandria via LeMat-Bulk, functional PBE-GGA.

Cell and atoms, written as extended XYZ:
```
4
Lattice="4.5691 -1.7678 0.0000 4.5691 1.7678 0.0000 -2.4090 0.0000 4.2527" Properties=species:S:1:pos:R:3 pbc="T T T"
Zr 0.0000 0.0000 0.0000
Mn 0.0658 0.0000 3.2595
Mn 2.9566 0.0000 1.7874
Se 5.6664 0.0000 1.7480
```

M_tot: 5.94 Bohr magnetons per cell
Space group: Cm

***

Number 1: total energy -4.2725 eV/atom. Number 2: total energy -4.6123 eV/atom. Number 3: total energy -4.6890 eV/atom. Number 4: total energy -4.8911 eV/atom. Number 5: total energy -3.9886 eV/atom. Number 6: total energy -4.4764 eV/atom. Number 7: total energy -4.4718 eV/atom. Number 8: total energy -4.4080 eV/atom. Number 9: total energy -4.5690 eV/atom. Number 10: total energy -4.3196 eV/atom. Number 11: total energy -4.7137 eV/atom. Number 12: total energy -4.7449 eV/atom. Number 13: total energy -4.4784 eV/atom. Number 14: total energy -5.1549 eV/atom. Number 15: total energy -5.8277 eV/atom. Number 16: total energy -7.6586 eV/atom. Number 17: total energy -7.3511 eV/atom. Number 18: total energy -7.8464 eV/atom. Number 19: total energy -7.1007 eV/atom. Number 20: total energy -7.6909 eV/atom.